Entry P
The following is a PBE calculation of an optimized crystal structure of TaAgBr, from Alexandria via LeMat-Bulk.

The structure in POSCAR format:
```
TaAgBr
1.0
3.161 0.000 0.000
-1.580 2.737 0.000
0.000 0.000 7.438
Ta Ag Br
1 1 1
Direct
0.000 0.000 0.000
0.667 0.333 0.305
0.333 0.667 0.742
```

Volume ... 64.4 Å³/f.u.
SG ... P3m1 (156)

---

Entry Q
The following is a PBE calculation of an optimized crystal structure of TaAgBr, from Alexandria via LeMat-Bulk.

The structure in POSCAR format:
```
TaAgBr
1.0
4.634 0.000 0.000
-2.317 4.013 0.000
0.000 0.000 3.106
Ta Ag Br
1 1 1
Direct
0.000 0.000 0.000
0.333 0.667 0.500
0.667 0.333 0.000
```

Volume ... 57.8 Å³/f.u.
SG ... P-6m2 (187)

---

So which one wins? Going from most stable to least: entry P, entry Q.

---

Entry P
The following is a PBE calculation of an optimized crystal structure of TaAgBr, from Alexandria via LeMat-Bulk.

The structure in POSCAR format:
```
TaAgBr
1.0
0.000 2.530 7.487
1.725 0.000 7.487
1.725 2.530 0.000
Ta Ag Br
1 1 1
Direct
0.000 0.000 0.000
0.649 0.649 0.351
0.364 0.364 0.636
```

Volume ... 65.4 Å³/f.u.
SG ... Fmm2 (42)

---

Entry Q
The following is a PBE calculation of an optimized crystal structure of TaAgBr, from Alexandria via LeMat-Bulk.

The structure in POSCAR format:
```
TaAgBr
1.0
-1.542 1.542 7.075
1.542 -1.542 7.075
1.542 1.542 -7.075
Ta Ag Br
1 1 1
Direct
0.000 0.000 0.000
0.634 0.634 0.000
0.380 0.380 0.000
```

Volume ... 67.3 Å³/f.u.
SG ... I4mm (107)

---

So which one wins? Going from most stable to least: entry Q, entry P.

---

Entry P
The following is a PBE calculation of an optimized crystal structure of TaAgBr, from Alexandria via LeMat-Bulk.

The structure in POSCAR format:
```
TaAgBr
1.0
0.000 3.217 3.217
3.217 0.000 3.217
3.217 3.217 0.000
Ta Ag Br
1 1 1
Direct
0.000 0.000 0.000
0.250 0.250 0.250
0.750 0.750 0.750
```

Volume ... 66.6 Å³/f.u.
SG ... F-43m (216)

---

Entry Q
The following is a PBE calculation of an optimized crystal structure of TaAgBr, from Alexandria via LeMat-Bulk.

The structure in POSCAR format:
```
TaAgBr
1.0
0.000 3.154 3.154
3.154 0.000 3.154
3.154 3.154 0.000
Ta Ag Br
1 1 1
Direct
0.000 0.000 0.000
0.500 0.500 0.500
0.750 0.750 0.750
```

Volume ... 62.8 Å³/f.u.
SG ... F-43m (216)

---

So which one wins? Going from most stable to least: entry P, entry Q.

---

Entry P
The following is a PBE calculation of an optimized crystal structure of Ta3AgBr, from Alexandria via LeMat-Bulk.

The structure in POSCAR format:
```
Ta3AgBr
1.0
4.722 0.000 0.000
0.000 4.722 0.000
0.000 0.000 4.722
Ta Ag Br
3 1 1
Direct
0.000 0.000 0.500
0.000 0.500 0.000
0.500 0.000 0.000
0.500 0.500 0.500
0.000 0.000 0.000
```

Volume ... 105.3 Å³/f.u.
SG ... Pm-3m (221)

---

Entry Q
The following is a PBE calculation of an optimized crystal structure of Ta3AgBr, from Alexandria via LeMat-Bulk.

The structure in POSCAR format:
```
Ta3AgBr
1.0
4.980 0.000 0.000
0.000 4.980 0.000
0.000 0.000 4.980
Ta Ag Br
3 1 1
Direct
0.000 0.000 0.500
0.000 0.500 0.000
0.500 0.000 0.000
0.000 0.000 0.000
0.500 0.500 0.500
```

Volume ... 123.5 Å³/f.u.
SG ... Pm-3m (221)

---

So which one wins? Going from most stable to least: entry P, entry Q.

---

Entry P
The following is a PBE calculation of an optimized crystal structure of Ta2AgBr, from Alexandria via LeMat-Bulk.

The structure in POSCAR format:
```
Ta2AgBr
1.0
1.512 0.873 9.312
-1.512 0.873 9.312
0.000 -1.746 9.312
Ta Ag Br
2 1 1
Direct
0.247 0.247 0.247
0.753 0.753 0.753
0.000 0.000 0.000
0.500 0.500 0.500
```

Volume ... 73.8 Å³/f.u.
SG ... R-3m (166)

---

Entry Q
The following is a PBE calculation of an optimized crystal structure of Ta2AgBr, from Alexandria via LeMat-Bulk.

The structure in POSCAR format:
```
Ta2AgBr
1.0
2.997 0.000 0.000
0.000 2.997 0.000
0.000 0.000 9.229
Ta Ag Br
2 1 1
Direct
0.000 0.000 0.000
0.500 0.500 0.235
0.000 0.000 0.455
0.500 0.500 0.804
```

Volume ... 82.9 Å³/f.u.
SG ... P4mm (99)

---

So which one wins? Going from most stable to least: entry Q, entry P.

---

Entry P
The following is a PBE calculation of an optimized crystal structure of TaAgBr6, from Alexandria via LeMat-Bulk.

The structure in POSCAR format:
```
TaAgBr6
1.0
3.479 -6.308 0.000
3.479 6.308 0.000
-2.411 0.000 6.403
Ta Ag Br
1 1 6
Direct
0.000 0.000 0.000
0.500 0.500 0.500
0.075 0.367 0.232
0.227 0.227 0.785
0.367 0.075 0.232
0.633 0.925 0.768
0.773 0.773 0.215
0.925 0.633 0.768
```

Volume ... 281.0 Å³/f.u.
SG ... C2/m (12)

---

Entry Q
The following is a PBE calculation of an optimized crystal structure of TaAgBr6, from Alexandria via LeMat-Bulk.

The structure in POSCAR format:
```
TaAgBr6
1.0
6.812 0.000 0.000
-3.400 5.907 0.000
-0.010 -3.926 6.158
Ta Ag Br
1 1 6
Direct
0.000 0.000 0.000
0.500 0.000 0.500
0.073 0.849 0.237
0.223 0.836 0.764
0.387 0.459 0.236
0.613 0.541 0.764
0.777 0.164 0.236
0.927 0.151 0.763
```

Volume ... 247.8 Å³/f.u.
SG ... P-1 (2)

---

So which one wins? Going from most stable to least: entry Q, entry P.

---

Entry P
The following is a PBE calculation of an optimized crystal structure of TbAg3Br6, from Alexandria via LeMat-Bulk.

The structure in POSCAR format:
```
TbAg3Br6
1.0
7.327 0.000 0.000
0.000 7.214 0.000
-7.020 0.000 11.213
Tb Ag Br
2 6 12
Direct
0.000 0.000 0.000
0.000 0.500 0.500
0.283 0.020 0.759
0.283 0.480 0.259
0.500 0.000 0.500
0.500 0.500 0.000
0.717 0.520 0.741
0.717 0.980 0.241
0.070 0.172 0.412
0.070 0.328 0.912
0.280 0.673 0.442
0.280 0.827 0.942
0.348 0.109 0.233
0.348 0.391 0.733
0.652 0.609 0.267
0.652 0.891 0.767
0.720 0.173 0.058
0.720 0.327 0.558
0.930 0.672 0.088
0.930 0.828 0.588
```

Volume ... 296.3 Å³/f.u.
SG ... P2_1/c (14)

---

Entry Q
The following is a PBE calculation of an optimized crystal structure of TbAg3Br6, from Alexandria via LeMat-Bulk.

The structure in POSCAR format:
```
TbAg3Br6
1.0
7.900 0.000 0.000
3.646 7.014 0.000
3.896 2.363 6.759
Tb Ag Br
1 3 6
Direct
0.000 0.000 0.000
0.000 0.500 0.000
0.500 0.000 0.000
0.500 0.500 0.500
0.223 0.737 0.772
0.247 0.248 0.712
0.268 0.773 0.224
0.732 0.227 0.776
0.753 0.752 0.288
0.777 0.263 0.228
```

Volume ... 374.5 Å³/f.u.
SG ... P-1 (2)

---

So which one wins? Going from most stable to least: entry P, entry Q.

---

Entry P
The following is a PBE calculation of an optimized crystal structure of Tc2AgBr, from Alexandria via LeMat-Bulk.

The structure in POSCAR format:
```
Tc2AgBr
1.0
4.601 0.000 0.000
0.000 4.601 0.000
0.000 0.000 3.053
Tc Ag Br
2 1 1
Direct
0.000 0.500 0.000
0.500 0.000 0.000
0.000 0.000 0.500
0.500 0.500 0.500
```

Volume ... 64.6 Å³/f.u.
SG ... P4/mmm (123)

---

Entry Q
The following is a PBE calculation of an optimized crystal structure of Tc2AgBr, from Alexandria via LeMat-Bulk.

The structure in POSCAR format:
```
Tc2AgBr
1.0
1.468 0.847 9.334
-1.468 0.847 9.334
0.000 -1.695 9.334
Tc Ag Br
2 1 1
Direct
0.000 0.000 0.000
0.262 0.262 0.262
0.753 0.753 0.753
0.520 0.520 0.520
```

Volume ... 69.7 Å³/f.u.
SG ... R3m (160)

---

Entry R
The following is a PBE calculation of an optimized crystal structure of Tc2AgBr, from Alexandria via LeMat-Bulk.

The structure in POSCAR format:
```
Tc2AgBr
1.0
2.981 0.000 0.000
0.000 2.981 0.000
0.000 0.000 8.335
Tc Ag Br
2 1 1
Direct
0.000 0.000 0.000
0.500 0.500 0.176
0.000 0.000 0.428
0.500 0.500 0.763
```

Volume ... 74.1 Å³/f.u.
SG ... P4mm (99)

---

So which one wins? Going from most stable to least: entry R, entry Q, entry P.

---

Entry P
The following is a PBE calculation of an optimized crystal structure of Tc2AgBr, from Alexandria via LeMat-Bulk.

The structure in POSCAR format:
```
Tc2AgBr
1.0
0.000 3.181 3.181
3.181 0.000 3.181
3.181 3.181 0.000
Tc Ag Br
2 1 1
Direct
0.250 0.250 0.250
0.750 0.750 0.750
0.000 0.000 0.000
0.500 0.500 0.500
```

Volume ... 64.4 Å³/f.u.
SG ... Fm-3m (225)

---

Entry Q
The following is a PBE calculation of an optimized crystal structure of Tc2AgBr, from Alexandria via LeMat-Bulk.

The structure in POSCAR format:
```
Tc2AgBr
1.0
0.000 3.232 3.232
3.232 0.000 3.232
3.232 3.232 0.000
Tc Ag Br
2 1 1
Direct
0.000 0.000 0.000
0.250 0.250 0.250
0.750 0.750 0.750
0.500 0.500 0.500
```

Volume ... 67.5 Å³/f.u.
SG ... F-43m (216)

---

So which one wins? Going from most stable to least: entry Q, entry P.

---

Entry P
The following is a PBE calculation of an optimized crystal structure of Tc2AgBr, from Alexandria via LeMat-Bulk.

The structure in POSCAR format:
```
Tc2AgBr
1.0
3.641 0.000 0.000
0.000 4.751 0.000
-0.714 0.000 4.862
Tc Ag Br
2 1 1
Direct
0.178 0.000 0.342
0.822 0.000 0.658
0.500 0.500 0.500
0.000 0.500 0.000
```

Volume ... 84.1 Å³/f.u.
SG ... P2/m (10)

---

Entry Q
The following is a PBE calculation of an optimized crystal structure of Tc2AgBr, from Alexandria via LeMat-Bulk.

The structure in POSCAR format:
```
Tc2AgBr
1.0
1.472 -2.406 0.000
1.472 2.406 0.000
0.000 0.000 9.527
Tc Ag Br
2 1 1
Direct
0.000 0.000 0.244
0.000 0.000 0.756
0.500 0.500 0.500
0.500 0.500 0.000
```

Volume ... 67.5 Å³/f.u.
SG ... Cmmm (65)

---

Entry R
The following is a PBE calculation of an optimized crystal structure of Tc2AgBr, from Alexandria via LeMat-Bulk.

The structure in POSCAR format:
```
Tc2AgBr
1.0
-1.897 1.897 4.921
1.897 -1.897 4.921
1.897 1.897 -4.921
Tc Ag Br
2 1 1
Direct
0.250 0.750 0.500
0.750 0.250 0.500
0.000 0.000 0.000
0.500 0.500 0.000
```

Volume ... 70.8 Å³/f.u.
SG ... I4/mmm (139)

---

Entry S
The following is a PBE calculation of an optimized crystal structure of Tc2AgBr, from Alexandria via LeMat-Bulk.

The structure in POSCAR format:
```
Tc2AgBr
1.0
-1.490 2.316 4.871
1.490 -2.316 4.871
1.490 2.316 -4.871
Tc Ag Br
2 1 1
Direct
0.225 0.225 0.000
0.775 0.775 0.000
0.500 0.000 0.500
0.000 0.500 0.500
```

Volume ... 67.2 Å³/f.u.
SG ... Immm (71)

---

So which one wins? Going from most stable to least: entry P, entry S, entry Q, entry R.

---

Entry P
The following is a PBE calculation of an optimized crystal structure of Tc2AgBr, from Alexandria via LeMat-Bulk.

The structure in POSCAR format:
```
Tc2AgBr
1.0
-1.919 1.919 10.265
1.919 -1.919 10.265
1.919 1.919 -10.265
Tc Ag Br
4 2 2
Direct
0.061 0.625 0.936
0.375 0.311 0.436
0.689 0.125 0.064
0.875 0.939 0.564
0.250 0.750 0.500
0.500 0.500 0.000
0.000 0.000 0.000
0.750 0.250 0.500
```

Volume ... 75.6 Å³/f.u.
SG ... I-42d (122)

---

Entry Q
The following is a PBE calculation of an optimized crystal structure of Tc2AgBr, from Alexandria via LeMat-Bulk.

The structure in POSCAR format:
```
Tc2AgBr
1.0
1.483 -2.464 0.000
1.483 2.464 0.000
0.000 0.000 9.819
Tc Ag Br
2 1 1
Direct
0.000 0.000 0.000
0.500 0.500 0.205
0.500 0.500 0.748
0.000 0.000 0.450
```

Volume ... 71.8 Å³/f.u.
SG ... Cmm2 (35)

---

Entry R
The following is a PBE calculation of an optimized crystal structure of Tc2AgBr, from Alexandria via LeMat-Bulk.

The structure in POSCAR format:
```
Tc2AgBr
1.0
1.470 0.849 8.758
-1.470 0.849 8.758
0.000 -1.698 8.758
Tc Ag Br
2 1 1
Direct
0.245 0.245 0.245
0.755 0.755 0.755
0.000 0.000 0.000
0.500 0.500 0.500
```

Volume ... 65.6 Å³/f.u.
SG ... R-3m (166)

---

So which one wins? Going from most stable to least: entry Q, entry R, entry P.

---

Entry P
The following is a PBE calculation of an optimized crystal structure of Tc2AgBr, from Alexandria via LeMat-Bulk.

The structure in POSCAR format:
```
Tc2AgBr
1.0
2.894 0.000 0.000
0.000 4.416 0.000
0.000 0.000 6.623
Tc Ag Br
2 1 1
Direct
0.000 0.000 0.162
0.000 0.000 0.838
0.500 0.500 0.000
0.500 0.500 0.500
```

Volume ... 84.6 Å³/f.u.
SG ... Pmmm (47)

---

Entry Q
The following is a PBE calculation of an optimized crystal structure of Tc2AgBr, from Alexandria via LeMat-Bulk.

The structure in POSCAR format:
```
Tc2AgBr
1.0
3.786 0.000 0.000
0.000 3.786 0.000
0.000 0.000 4.933
Tc Ag Br
2 1 1
Direct
0.000 0.500 0.000
0.500 0.000 0.000
0.000 0.000 0.500
0.500 0.500 0.500
```

Volume ... 70.7 Å³/f.u.
SG ... P4/mmm (123)

---

So which one wins? Going from most stable to least: entry P, entry Q.